A.
The following is a PBE-GGA calculation of a relaxed structure of NaZr2Pd, from Alexandria via LeMat-Bulk.

Cell lengths 4.148, 4.148, 10.629 Å; angles 78.75, 78.75, 90.00 degrees
Fractional coordinates of all 8 atoms:
1 Na 0.500 0.500 0.000
2 Na 0.250 0.750 0.500
3 Zr 0.639 0.125 0.250
4 Zr 0.111 0.625 0.250
5 Zr 0.375 0.361 0.750
6 Zr 0.875 0.889 0.750
7 Pd 0.000 0.000 0.000
8 Pd 0.750 0.250 0.500

Results
Total moment ... 0.0 μB/f.u.

B.
The following is a PBE-GGA calculation of a relaxed structure of NaZr2Pd, from Alexandria via LeMat-Bulk.

Cell lengths 4.857, 4.857, 4.857 Å; angles 60.00, 60.00, 60.00 degrees
Fractional coordinates of all 4 atoms:
1 Na 0.000 0.000 0.000
2 Zr 0.250 0.250 0.250
3 Zr 0.750 0.750 0.750
4 Pd 0.500 0.500 0.500

Results
Total moment ... 0.0 μB/f.u.

Calculated relative energies: A 23.2; B 0.0, given in kJ/mol of atoms

A.
The following is a PBE-GGA calculation of a relaxed structure of Na3ZrPd, from Alexandria via LeMat-Bulk.

Cell lengths 5.945, 5.945, 5.945 Å; angles 90.00, 90.00, 90.00 degrees
Fractional coordinates of all 5 atoms:
1 Na 0.000 0.500 0.000
2 Na 0.000 0.000 0.500
3 Na 0.500 0.000 0.000
4 Zr 0.000 0.000 0.000
5 Pd 0.500 0.500 0.500

Results
Total moment ... 3.3 μB/f.u.

B.
The following is a PBE-GGA calculation of a relaxed structure of Na3ZrPd, from Alexandria via LeMat-Bulk.

Cell lengths 5.279, 5.279, 5.279 Å; angles 90.00, 90.00, 90.00 degrees
Fractional coordinates of all 5 atoms:
1 Na 0.000 0.500 0.000
2 Na 0.000 0.000 0.500
3 Na 0.500 0.000 0.000
4 Zr 0.500 0.500 0.500
5 Pd 0.000 0.000 0.000

Results
Total moment ... 2.9 μB/f.u.

Calculated relative energies: A 66.8; B 0.0, given in kJ/mol of atoms

A.
The following is a PBE-GGA calculation of a relaxed structure of NaPm3, from Alexandria via LeMat-Bulk.

Cell lengths 5.144, 5.144, 5.144 Å; angles 90.00, 90.00, 90.00 degrees
Fractional coordinates of all 4 atoms:
1 Na 0.000 0.000 0.000
2 Pm 0.000 0.500 0.500
3 Pm 0.500 0.500 0.000
4 Pm 0.500 0.000 0.500

Results
Total moment ... 0.0 μB/f.u.

B.
The following is a PBE-GGA calculation of a relaxed structure of NaPm3, from Alexandria via LeMat-Bulk.

Cell lengths 3.706, 6.193, 6.938 Å; angles 116.50, 105.49, 90.00 degrees
Fractional coordinates of all 4 atoms:
1 Na 0.000 0.981 0.000
2 Pm 0.252 0.609 0.503
3 Pm 0.500 0.472 0.000
4 Pm 0.748 0.105 0.497

Results
Total moment ... 0.0 μB/f.u.

Calculated relative energies: A 8.0; B 0.0, given in kJ/mol of atoms

A.
The following is a PBE-GGA calculation of a relaxed structure of NaPm2, from Alexandria via LeMat-Bulk.

Cell lengths 3.560, 3.560, 8.672 Å; angles 101.85, 101.85, 90.00 degrees
Fractional coordinates of all 3 atoms:
1 Na 0.000 0.000 0.000
2 Pm 0.674 0.674 0.348
3 Pm 0.326 0.326 0.652

Results
Total moment ... 0.0 μB/f.u.

B.
The following is a PBE-GGA calculation of a relaxed structure of NaPm2, from Alexandria via LeMat-Bulk.

Cell lengths 6.876, 6.876, 6.876 Å; angles 60.00, 60.00, 60.00 degrees
Fractional coordinates of all 6 atoms:
1 Na 0.000 0.000 0.000
2 Na 0.250 0.250 0.250
3 Pm 0.125 0.625 0.625
4 Pm 0.625 0.125 0.625
5 Pm 0.625 0.625 0.625
6 Pm 0.625 0.625 0.125

Results
Total moment ... 0.0 μB/f.u.

Calculated relative energies: A 0.0; B 30.0, given in kJ/mol of atoms

A.
The following is a PBE-GGA calculation of a relaxed structure of NaPmPr2, from Alexandria via LeMat-Bulk.

Cell lengths 3.681, 3.681, 12.529 Å; angles 81.55, 81.55, 60.00 degrees
Fractional coordinates of all 4 atoms:
1 Na 0.667 0.667 0.000
2 Pm 0.500 0.500 0.500
3 Pr 0.087 0.087 0.740
4 Pr 0.247 0.247 0.260

Results
Total moment ... 0.0 μB/f.u.

B.
The following is a PBE-GGA calculation of a relaxed structure of NaPmPr2, from Alexandria via LeMat-Bulk.

Cell lengths 3.765, 6.082, 6.082 Å; angles 90.00, 90.00, 90.00 degrees
Fractional coordinates of all 4 atoms:
1 Pr 0.000 0.000 0.500
2 Pr 0.000 0.500 0.000
3 Na 0.500 0.000 0.000
4 Pm 0.500 0.500 0.500

Results
Total moment ... 0.0 μB/f.u.

C.
The following is a PBE-GGA calculation of a relaxed structure of NaPmPr2, from Alexandria via LeMat-Bulk.

Cell lengths 3.619, 3.619, 13.227 Å; angles 82.14, 82.14, 60.00 degrees
Fractional coordinates of all 4 atoms:
1 Pr 0.091 0.091 0.726
2 Pr 0.909 0.909 0.274
3 Na 0.000 0.000 0.000
4 Pm 0.500 0.500 0.500

Results
Total moment ... 0.0 μB/f.u.

Calculated relative energies: A 0.0; B 8.8; C 3.7, given in kJ/mol of atoms

A.
The following is a PBE-GGA calculation of a relaxed structure of NaPm2Ru, from Alexandria via LeMat-Bulk.

Cell lengths 3.479, 3.479, 9.623 Å; angles 90.00, 90.00, 90.00 degrees
Fractional coordinates of all 4 atoms:
1 Ru 0.500 0.500 0.000
2 Na 0.500 0.500 0.500
3 Pm 0.000 0.000 0.823
4 Pm 0.000 0.000 0.177

Results
Total moment ... 0.0 μB/f.u.

B.
The following is a PBE-GGA calculation of a relaxed structure of NaPm2Ru, from Alexandria via LeMat-Bulk.

Cell lengths 4.053, 4.053, 9.667 Å; angles 77.90, 77.90, 60.00 degrees
Fractional coordinates of all 4 atoms:
1 Ru 0.000 0.000 0.000
2 Na 0.500 0.500 0.500
3 Pm 0.721 0.721 0.838
4 Pm 0.279 0.279 0.162

Results
Total moment ... 0.0 μB/f.u.

C.
The following is a PBE-GGA calculation of a relaxed structure of NaPm2Ru, from Alexandria via LeMat-Bulk.

Cell lengths 5.159, 5.159, 5.159 Å; angles 60.00, 60.00, 60.00 degrees
Fractional coordinates of all 4 atoms:
1 Ru 0.500 0.500 0.500
2 Na 0.000 0.000 0.000
3 Pm 0.250 0.250 0.250
4 Pm 0.750 0.750 0.750

Results
Total moment ... 0.0 μB/f.u.

Calculated relative energies: A 0.0; B 6.5; C 16.6, given in kJ/mol of atoms